(1)
A relaxed structure of TbSc2Mn. Source: Alexandria via LeMat-Bulk, functional PBE.

Properties
The symmetry is P4/mmm, No. 123. The energy above the most stable polymorph in this dataset comes out at 0 meV/atom. Its final energy is -6.534 eV per atom.

Cell lengths 3.2147, 3.2147, 8.5889 Å; angles 90.00, 90.00, 90.00 degrees
Element x y z (fractional)
1 Tb 0.0000 0.0000 0.0000
2 Sc 0.5000 0.5000 0.3170
3 Sc 0.5000 0.5000 0.6830
4 Mn 0.0000 0.0000 0.5000

---

(2)
A relaxed structure of CoMo2As. Source: Alexandria via LeMat-Bulk, functional PBE.

Properties
The symmetry is C2/m, No. 12. Its final energy is -8.155 eV per atom.

Cell lengths 4.7301, 4.7301, 2.8404 Å; angles 97.77, 97.77, 111.07 degrees
Element x y z (fractional)
1 Co 0.0000 0.0000 0.0000
2 Mo 0.0000 0.5000 0.5000
3 Mo 0.5000 0.0000 0.5000
4 As 0.5000 0.5000 0.0000

---

(3)
A relaxed structure of SrPtCl2. Source: Alexandria via LeMat-Bulk, functional PBE.

Properties
The symmetry is P4/mmm, No. 123. The energy above the most stable polymorph in this dataset comes out at 674 meV/atom. Its final energy is -3.505 eV per atom. Its energy relative to the elements, uncorrected is -0.651 eV per atom.

Cell lengths 3.6746, 3.6746, 6.7665 Å; angles 90.00, 90.00, 90.00 degrees
Element x y z (fractional)
1 Sr 0.0000 0.0000 0.0000
2 Pt 0.0000 0.0000 0.5000
3 Cl 0.5000 0.5000 0.2345
4 Cl 0.5000 0.5000 0.7655

---

(4)
A relaxed structure of SrInAgIr2. Source: Alexandria via LeMat-Bulk, functional PBE.

Properties
The symmetry is P4/mmm, No. 123. Its final energy is -2.998 eV per atom.

Cell lengths 5.0573, 5.0573, 5.6972 Å; angles 90.00, 90.00, 90.00 degrees
Element x y z (fractional)
1 Sr 0.0000 0.0000 0.0000
2 In 0.0000 0.0000 0.5000
3 Ag 0.5000 0.5000 0.5000
4 Ir 0.0000 0.5000 0.0000
5 Ir 0.5000 0.0000 0.0000